# Y3RuI3 | the Alexandria database | SCAN | single point on PBEsol structure
# Total moment (μB/f.u.): 0.00
# Space-group type: P2_1/m, No. 11
# Raw formation energy (meV per atom): -1128
data_Y3RuI3
_space_group_name_H-M_alt 'P 1'
_space_group_IT_number 1
_cell_length_a 8.643
_cell_length_b 4.148
_cell_length_c 11.963
_cell_angle_alpha 90.00
_cell_angle_beta 94.48
_cell_angle_gamma 90.00
loop_
_space_group_symop_operation_xyz
'x,y,z'
loop_
_atom_site_label
_atom_site_type_symbol
_atom_site_fract_x
_atom_site_fract_y
_atom_site_fract_z
Y1 Y 0.100 0.250 0.321
Y2 Y 0.137 0.250 0.872
Y3 Y 0.263 0.750 0.105
Y4 Y 0.737 0.250 0.895
Y5 Y 0.863 0.750 0.128
Y6 Y 0.900 0.750 0.679
Ru1 Ru 0.052 0.250 0.093
Ru2 Ru 0.948 0.750 0.907
I1 I 0.148 0.250 0.604
I2 I 0.361 0.750 0.369
I3 I 0.430 0.750 0.864
I4 I 0.570 0.250 0.136
I5 I 0.639 0.250 0.631
I6 I 0.852 0.750 0.396